Density functional theory data (PBE+U) for Np2FeO7 after structural relaxation.

Computed properties:
Its spin magnetization is 6.000 μB/cell. Its total energy is -89.71 eV/cell. The mass density comes out at 8.52 Mg/m³. Its symmetry is P-1 (2).

Geometry as POSCAR:
```
Np2FeO7
1.0
3.696 0.271 0.526
1.991 3.608 0.744
-0.180 0.603 9.839
Np Fe O
2 1 7
direct
0.084 0.068 0.787 Np
0.916 0.932 0.213 Np
0.500 0.500 0.500 Fe
0.713 0.729 0.835 O
0.565 0.575 0.273 O
0.000 0.000 0.000 O
0.287 0.271 0.165 O
0.142 0.145 0.582 O
0.858 0.855 0.418 O
0.435 0.425 0.727 O
```